Model P:
A relaxed structure of Mn2BeTl, computed with PBE-GGA.

Structure (POSCAR):
```
Mn2BeTl
1.0
1.4261 0.2606 4.1685
0.5192 3.9436 1.9122
-2.7569 1.2812 3.1995
Mn Tl Be
2 1 1
Direct
0.7500 0.7500 0.7500
0.2500 0.2500 0.2500
0.5000 0.5000 0.5000
0.0000 0.0000 0.0000
```

***

Model Q:
A relaxed structure of Mn2BeTl, computed with PBE-GGA.

Structure (POSCAR):
```
Mn2BeTl
1.0
3.6257 0.0000 0.0000
0.0000 2.9227 -0.0146
0.0000 1.4720 5.6896
Be Mn Tl
1 2 1
Direct
0.5000 0.5256 0.8224
0.5000 0.3293 0.2161
0.0000 0.9562 0.9616
0.0000 0.6889 0.5000
```

***

Model R:
A relaxed structure of Mn2BeTl, computed with PBE-GGA.

Structure (POSCAR):
```
Mn2BeTl
1.0
-2.0204 -3.2377 1.9455
0.8413 -0.8925 4.1043
-2.9356 0.8086 3.0130
Mn Tl Be
2 1 1
Direct
0.2500 0.2500 0.2500
0.0000 0.0000 0.0000
0.7500 0.7500 0.7500
0.5000 0.5000 0.5000
```

***

Model S:
A relaxed structure of Mn2BeTl, computed with PBE-GGA.

Structure (POSCAR):
```
Mn2BeTl
1.0
-1.4979 0.1653 -3.3467
3.1997 -1.0177 -1.4824
-1.5103 -8.7878 -1.7708
Tl Be Mn
2 2 4
Direct
0.7500 0.2500 0.5000
0.0000 0.0000 0.0000
0.2500 0.7500 0.5000
0.5000 0.5000 0.0000
0.3750 0.7757 0.7500
0.2243 0.1250 0.2500
0.8750 0.4743 0.7500
0.5257 0.6250 0.2500
```

***

Most stable to least stable: model Q, model P, model R, model S